Entry 1:
The following is a DFT calculation (PBE-GGA) of a relaxed CuAg crystal.

final energy = -63.61 eV per cell
DFT formation energy = 0.09 eV per atom

Cell lengths 4.6652, 14.3361, 4.6635 Å; angles 90.00, 106.00, 90.00 degrees
Space group C2 (No. 5)
Asymmetric unit:
Cu 0.0000 0.0000 0.0000 (multiplicity 2)
Cu 0.0000 0.0832 0.5000 (multiplicity 2)
Cu 0.0000 0.1734 0.0000 (multiplicity 2)
Cu 0.0000 0.4918 0.5000 (multiplicity 2)
Cu 0.0000 0.5823 0.0000 (multiplicity 2)
Ag 0.0000 0.2809 0.5000 (multiplicity 2)
Ag 0.0000 0.3961 0.0000 (multiplicity 2)
Ag 0.0000 0.6737 0.5000 (multiplicity 2)
Ag 0.0000 0.7810 0.0000 (multiplicity 2)
Ag 0.0000 0.8976 0.5000 (multiplicity 2)



Entry 2:
The following is a DFT calculation (PBE-GGA) of a relaxed Cu3Ag2 crystal.

final energy = -32.64 eV per cell
E above lowest polymorph = 0.0544 eV per atom
DFT formation energy = 0.10 eV per atom

Cell lengths 4.6745, 2.7572, 11.1319 Å; angles 90.00, 96.40, 90.00 degrees
Space group P2_1/m (No. 11)
Asymmetric unit:
Cu 0.0527 0.2500 0.4038 (multiplicity 2)
Cu 0.2639 0.2500 0.9971 (multiplicity 2)
Cu 0.3561 0.7500 0.8125 (multiplicity 2)
Ag 0.1387 0.7500 0.1943 (multiplicity 2)
Ag 0.4392 0.2500 0.6074 (multiplicity 2)



Entry 3:
The following is a DFT calculation (PBE-GGA) of a relaxed Cu7Ag33 crystal.

final energy = -117.27 eV per cell
DFT formation energy = 0.05 eV per atom

Cell lengths 6.4327, 10.4077, 11.1451 Å; angles 71.60, 73.24, 86.16 degrees
Space group P1 (No. 1)
Asymmetric unit:
Cu 0.0000 0.0000 0.0000 (multiplicity 1)
Cu 0.0415 0.2456 0.0554 (multiplicity 1)
Cu 0.1585 0.7504 0.1471 (multiplicity 1)
Cu 0.5034 0.4957 0.4969 (multiplicity 1)
Cu 0.5742 0.8762 0.0744 (multiplicity 1)
Cu 0.6874 0.3628 0.1731 (multiplicity 1)
Cu 0.8328 0.1276 0.3131 (multiplicity 1)
Ag 0.0266 0.1214 0.5201 (multiplicity 1)
Ag 0.0881 0.3712 0.5712 (multiplicity 1)
Ag 0.0957 0.4969 0.1006 (multiplicity 1)
Ag 0.1324 0.6219 0.6184 (multiplicity 1)
Ag 0.1773 0.8724 0.6731 (multiplicity 1)
Ag 0.1990 0.9974 0.1904 (multiplicity 1)
Ag 0.2256 0.1194 0.7265 (multiplicity 1)
Ag 0.2487 0.2430 0.2444 (multiplicity 1)
Ag 0.2763 0.3754 0.7753 (multiplicity 1)
Ag 0.3089 0.4924 0.2971 (multiplicity 1)
Ag 0.3244 0.6263 0.8254 (multiplicity 1)
Ag 0.3553 0.7468 0.3380 (multiplicity 1)
Ag 0.3702 0.8747 0.8862 (multiplicity 1)
Ag 0.4146 0.9956 0.3934 (multiplicity 1)
Ag 0.4155 0.1261 0.9286 (multiplicity 1)
Ag 0.4624 0.2459 0.4409 (multiplicity 1)
Ag 0.4736 0.3731 0.9788 (multiplicity 1)
Ag 0.5236 0.6265 0.0296 (multiplicity 1)
Ag 0.5550 0.7423 0.5430 (multiplicity 1)
Ag 0.6055 0.9969 0.5969 (multiplicity 1)
Ag 0.6431 0.1224 0.1227 (multiplicity 1)
Ag 0.6498 0.2504 0.6480 (multiplicity 1)
Ag 0.7031 0.4970 0.6964 (multiplicity 1)
Ag 0.7258 0.6171 0.2257 (multiplicity 1)
Ag 0.7533 0.7476 0.7501 (multiplicity 1)
Ag 0.7879 0.8716 0.2592 (multiplicity 1)
Ag 0.7965 0.9980 0.8076 (multiplicity 1)
Ag 0.8581 0.2459 0.8537 (multiplicity 1)
Ag 0.8710 0.3677 0.3718 (multiplicity 1)
Ag 0.8974 0.4947 0.9067 (multiplicity 1)
Ag 0.9293 0.6200 0.4172 (multiplicity 1)
Ag 0.9473 0.7566 0.9591 (multiplicity 1)
Ag 0.9770 0.8764 0.4652 (multiplicity 1)



Entry 4:
The following is a DFT calculation (PBE-GGA) of a relaxed Cu3Ag2 crystal.

final energy = -97.83 eV per cell
E above lowest polymorph = 0.0569 eV per atom
DFT formation energy = 0.10 eV per atom

Cell lengths 2.7661, 2.7661, 65.2411 Å; angles 90.00, 90.00, 120.00 degrees
Space group R-3m (No. 166, hexagonal axes)
Asymmetric unit:
Cu 0.0000 0.0000 0.0000 (multiplicity 3)
Cu 0.0000 0.0000 0.1067 (multiplicity 6)
Cu 0.0000 0.0000 0.1967 (multiplicity 6)
Cu 0.0000 0.0000 0.5000 (multiplicity 3)
Ag 0.0000 0.0000 0.2996 (multiplicity 6)
Ag 0.0000 0.0000 0.4055 (multiplicity 6)



Entry 5:
The following is a DFT calculation (PBE-GGA) of a relaxed Cu5Ag3 crystal.

final energy = -52.59 eV per cell
E above lowest polymorph = 0.0486 eV per atom
DFT formation energy = 0.10 eV per atom

Cell lengths 5.5238, 7.3059, 5.6215 Å; angles 90.00, 90.00, 90.00 degrees
Space group Cmm2 (No. 35)
Asymmetric unit:
Cu 0.0000 0.0000 0.0000 (multiplicity 2)
Cu 0.0000 0.0000 0.4500 (multiplicity 2)
Cu 0.0000 0.5000 0.9874 (multiplicity 2)
Cu 0.2500 0.2500 0.2135 (multiplicity 4)
Ag 0.0000 0.5000 0.4530 (multiplicity 2)
Ag 0.2500 0.2500 0.7333 (multiplicity 4)



Entry 6:
The following is a DFT calculation (PBE-GGA) of a relaxed Cu3Ag7 crystal.

final energy = -30.16 eV per cell
E above lowest polymorph = 0.0474 eV per atom
DFT formation energy = 0.08 eV per atom

Cell lengths 4.9091, 2.8781, 11.6051 Å; angles 90.00, 96.83, 90.00 degrees
Space group Pm (No. 6)
Asymmetric unit:
Cu 0.0000 0.0000 0.0000 (multiplicity 1)
Cu 0.0966 0.5000 0.8183 (multiplicity 1)
Cu 0.3927 0.0000 0.2034 (multiplicity 1)
Ag 0.1969 0.0000 0.6178 (multiplicity 1)
Ag 0.2966 0.5000 0.3998 (multiplicity 1)
Ag 0.4763 0.5000 0.0127 (multiplicity 1)
Ag 0.6073 0.0000 0.8155 (multiplicity 1)
Ag 0.6999 0.5000 0.6100 (multiplicity 1)
Ag 0.7944 0.0000 0.3998 (multiplicity 1)
Ag 0.9054 0.5000 0.1931 (multiplicity 1)